Computed, not measured: a geometry-optimized CaYFe2 structure at the PBE level of DFT.

Results
- formation enthalpy at 0 K (meV per atom) = 351
- total magnetic moment (μB/f.u.) = 4.0
- V (Å³ per atom) = 22.190
- DOS(E_F) (states/eV/atom) = 1.52

CIF file:
```
data_CaYFe2
_chemical_formula_sum 'Ca1 Y1 Fe2'
_symmetry_space_group_name_H-M 'P 4/m m m'
_symmetry_Int_Tables_number 123
_symmetry_space_group_name_Hall '-P 4 2'
_cell_length_a 3.6355
_cell_length_b 3.6355
_cell_length_c 6.7158
_cell_angle_alpha 90.00
_cell_angle_beta 90.00
_cell_angle_gamma 90.00
loop_
_atom_site_label
_atom_site_type_symbol
_atom_site_fract_x
_atom_site_fract_y
_atom_site_fract_z
Ca1 Ca 0.0000 0.0000 0.0000
Y1 Y 0.0000 0.0000 0.5000
Fe1 Fe 0.5000 0.5000 0.3164
```